No. 1
This record from Alexandria describes SbHRh3 after structural relaxation. The functional is PBE-GGA.

Summary:
Its density of states at the Fermi level is 6.75 states/eV per cell. The calculation puts the energy above the most stable polymorph in this dataset at 323 meV/atom. For the electronic total energy, the calculation gives -5.862 eV per atom.

```
data_SbHRh3
_chemical_formula_sum 'Sb2 H2 Rh6'
_symmetry_space_group_name_H-M 'P 63/m m c'
_symmetry_Int_Tables_number 194
_symmetry_space_group_name_Hall '-P 6c 2c'
_cell_length_a 4.1245
_cell_length_b 4.1245
_cell_length_c 10.6706
_cell_angle_alpha 90.00
_cell_angle_beta 90.00
_cell_angle_gamma 120.00
loop_
_atom_site_label
_atom_site_type_symbol
_atom_site_fract_x
_atom_site_fract_y
_atom_site_fract_z
Sb1 Sb 0.0000 0.0000 0.0000
H1 H 0.3333 0.6667 0.2500
Rh1 Rh 0.0000 0.0000 0.2500
Rh2 Rh 0.3333 0.6667 0.0907
```

=====

No. 2
This record from Alexandria describes SbH7Rh3 after structural relaxation. The functional is PBE-GGA.

Summary:
Its density of states at the Fermi level is 5.40 states/eV per cell. For the electronic total energy, the calculation gives -4.482 eV per atom.

```
data_SbH7Rh3
_chemical_formula_sum 'Sb4 H28 Rh12'
_symmetry_space_group_name_H-M 'C 1 2/c 1'
_symmetry_Int_Tables_number 15
_cell_length_a 10.3205
_cell_length_b 7.3212
_cell_length_c 5.5224
_cell_angle_alpha 90.00
_cell_angle_beta 109.47
_cell_angle_gamma 90.00
loop_
_symmetry_equiv_pos_as_xyz
'x,y,z'
'-x,-y,-z'
'-x,y,-z+1/2'
'x,-y,z+1/2'
'x+1/2,y+1/2,z'
'-x+1/2,-y+1/2,-z'
'-x+1/2,y+1/2,-z+1/2'
'x+1/2,-y+1/2,z+1/2'
loop_
_atom_site_label
_atom_site_type_symbol
_atom_site_fract_x
_atom_site_fract_y
_atom_site_fract_z
Sb1 Sb 0.2500 0.2500 0.0000
H1 H 0.0000 0.1634 0.2500
H2 H 0.0214 0.3768 0.9531
H3 H 0.1051 0.0686 0.6216
H4 H 0.1551 0.3238 0.4445
Rh1 Rh 0.0000 0.4345 0.2500
Rh2 Rh 0.1734 0.0837 0.3668
```

=====

No. 3
This record from Alexandria describes SbHRh3 after structural relaxation. The functional is PBE-GGA.

Summary:
Its density of states at the Fermi level is 20.52 states/eV per cell. The calculation puts the energy above the most stable polymorph in this dataset at 993 meV/atom. For the electronic total energy, the calculation gives -5.193 eV per atom.

```
data_SbHRh3
_chemical_formula_sum 'Sb4 H4 Rh12'
_symmetry_space_group_name_H-M 'I -4 m 2'
_symmetry_Int_Tables_number 119
_symmetry_space_group_name_Hall 'I -4 -2'
_cell_length_a 4.6037
_cell_length_b 4.6037
_cell_length_c 19.1771
_cell_angle_alpha 90.00
_cell_angle_beta 90.00
_cell_angle_gamma 90.00
loop_
_atom_site_label
_atom_site_type_symbol
_atom_site_fract_x
_atom_site_fract_y
_atom_site_fract_z
Sb1 Sb 0.0000 0.0000 0.0000
Sb2 Sb 0.0000 0.5000 0.2500
H1 H 0.0000 0.5000 0.6465
Rh1 Rh 0.0000 0.0000 0.3420
Rh2 Rh 0.0000 0.2461 0.1220
```

=====

No. 4
This record from Alexandria describes SbHRh3 after structural relaxation. The functional is PBE-GGA.

Summary:
Its density of states at the Fermi level is 15.84 states/eV per cell. The calculation puts the energy above the most stable polymorph in this dataset at 353 meV/atom. For the electronic total energy, the calculation gives -5.832 eV per atom.

```
data_SbHRh3
_chemical_formula_sum 'Sb4 H4 Rh12'
_symmetry_space_group_name_H-M 'I -4 m 2'
_symmetry_Int_Tables_number 119
_symmetry_space_group_name_Hall 'I -4 -2'
_cell_length_a 5.2079
_cell_length_b 5.2079
_cell_length_c 10.4471
_cell_angle_alpha 90.00
_cell_angle_beta 90.00
_cell_angle_gamma 90.00
loop_
_atom_site_label
_atom_site_type_symbol
_atom_site_fract_x
_atom_site_fract_y
_atom_site_fract_z
Sb1 Sb 0.0000 0.0000 0.1587
H1 H 0.0000 0.0000 0.5000
H2 H 0.0000 0.5000 0.2500
Rh1 Rh 0.0000 0.2522 0.3799
Rh2 Rh 0.0000 0.5000 0.6163
```

=====

Number 4 is which compound?
SbHRh3

=====

Please write out number 4 again, unchanged.
This record from Alexandria describes SbHRh3 after structural relaxation. The functional is PBE-GGA.

Summary:
Its density of states at the Fermi level is 15.84 states/eV per cell. The calculation puts the energy above the most stable polymorph in this dataset at 353 meV/atom. For the electronic total energy, the calculation gives -5.832 eV per atom.

```
data_SbHRh3
_chemical_formula_sum 'Sb4 H4 Rh12'
_symmetry_space_group_name_H-M 'I -4 m 2'
_symmetry_Int_Tables_number 119
_symmetry_space_group_name_Hall 'I -4 -2'
_cell_length_a 5.2079
_cell_length_b 5.2079
_cell_length_c 10.4471
_cell_angle_alpha 90.00
_cell_angle_beta 90.00
_cell_angle_gamma 90.00
loop_
_atom_site_label
_atom_site_type_symbol
_atom_site_fract_x
_atom_site_fract_y
_atom_site_fract_z
Sb1 Sb 0.0000 0.0000 0.1587
H1 H 0.0000 0.0000 0.5000
H2 H 0.0000 0.5000 0.2500
Rh1 Rh 0.0000 0.2522 0.3799
Rh2 Rh 0.0000 0.5000 0.6163
```